# FeNi2Mo (PBE-GGA, relaxed)
data_FeNi2Mo
_cell_length_a 2.5790
_cell_length_b 4.1873
_cell_length_c 4.5506
_cell_angle_alpha 90.00
_cell_angle_beta 90.00
_cell_angle_gamma 90.00
_symmetry_space_group_name_H-M 'P m m 2'
_symmetry_Int_Tables_number 25
_symmetry_space_group_name_Hall 'P 2 -2'
loop_
_atom_site_label
_atom_site_type_symbol
_atom_site_fract_x
_atom_site_fract_y
_atom_site_fract_z
_atom_site_occupancy
Fe1 Fe 0.0000 0.0000 0.0000 1
Ni1 Ni 0.5000 0.0000 0.4819 1
Ni2 Ni 0.5000 0.5000 0.1668 1
Mo1 Mo 0.0000 0.5000 0.6652 1
# **Total DFT energy (no corrections)**: -7.691 eV/atom